(1)
Material: Nb2ZnIrI
Method: DFT, PBE
State: relaxed

SG ... No. 123
Formation energy without anion corrections ... 1.677 eV per atom

abc: 5.017 5.017 4.825
angles: 90.00 90.00 90.00
Element x y z (fractional)
Nb1 0.000 0.500 0.000
Nb2 0.500 0.000 0.000
Zn1 0.000 0.000 0.500
Ir1 0.500 0.500 0.500
I1 0.500 0.500 0.000

=====

(2)
Material: TlCr2Sn
Method: DFT, PBE
State: relaxed

Energy relative to the elements ... 0.787 eV per atom
SG ... No. 122

abc: 7.550 7.550 6.194
angles: 90.00 90.00 90.00
Element x y z (fractional)
Tl1 0.000 0.000 0.000
Tl2 0.000 0.500 0.250
Tl3 0.500 0.000 0.750
Tl4 0.500 0.500 0.500
Cr1 0.240 0.250 0.625
Cr2 0.250 0.740 0.875
Cr3 0.250 0.760 0.375
Cr4 0.260 0.250 0.125
Cr5 0.740 0.750 0.125
Cr6 0.750 0.240 0.375
Cr7 0.750 0.260 0.875
Cr8 0.760 0.750 0.625
Sn1 0.000 0.000 0.500
Sn2 0.000 0.500 0.750
Sn3 0.500 0.000 0.250
Sn4 0.500 0.500 0.000

=====

(3)
Material: LaTl2Cd
Method: DFT, PBE
State: relaxed

Energy relative to the elements ... -0.204 eV per atom
SG ... No. 10

abc: 3.499 4.977 6.678
angles: 90.00 97.33 90.00
Element x y z (fractional)
La1 0.000 0.000 0.000
Tl1 0.366 0.500 0.742
Tl2 0.634 0.500 0.258
Cd1 0.500 0.000 0.500

=====

(4)
Material: CsEu
Method: DFT, PBE
State: relaxed

Energy relative to the elements ... 0.276 eV per atom
SG ... No. 187

abc: 4.401 4.401 7.877
angles: 90.00 90.00 120.00
Element x y z (fractional)
Cs1 0.000 0.000 0.000
Eu1 0.667 0.333 0.500

=====

(5)
Material: Ac2Ga2Ni
Method: DFT, PBE
State: relaxed

Energy relative to the elements ... -0.468 eV per atom
SG ... No. 12

abc: 6.338 6.338 11.769
angles: 114.63 114.63 38.81
Element x y z (fractional)
Ac1 0.099 0.099 0.385
Ac2 0.283 0.283 0.858
Ac3 0.717 0.717 0.142
Ac4 0.901 0.901 0.615
Ga1 0.035 0.035 0.913
Ga2 0.386 0.386 0.383
Ga3 0.614 0.614 0.617
Ga4 0.965 0.965 0.087
Ni1 0.440 0.440 0.191
Ni2 0.560 0.560 0.809

=====

(6)
Material: AcPmNdTh
Method: DFT, PBE
State: relaxed

Energy relative to the elements ... 0.043 eV per atom
SG ... No. 99

abc: 3.702 3.702 10.666
angles: 90.00 90.00 90.00
Element x y z (fractional)
Ac1 0.000 0.000 0.000
Pm1 0.500 0.500 0.728
Nd1 0.500 0.500 0.274
Th1 0.000 0.000 0.502